Entry 1:
Below is a relaxed structure of PuCuB, with properties calculated at the PBE level.

The value obtained for the energy of formation from the pure elements is 15.1 kJ per mole of atoms. Its space group is Cmcm (63).

Cell and atoms, written as extended XYZ:
```
6
Lattice="-0.7972 -2.7650 -1.0673 3.8224 -1.4156 0.8122 0.0385 -2.4187 6.2375" Properties=species:S:1:pos:R:3 pbc="T T T"
Pu 0.1072 -2.8651 5.1363
Pu 2.9566 -3.7342 0.8462
B 1.5801 -1.5195 0.5499
B 1.4837 -5.0798 5.4326
Cu 2.1264 -4.4926 3.4313
Cu 0.9374 -2.1067 2.5512
```

Entry 2:
Below is a relaxed structure of Pu3CuB2Rh9, with properties calculated at the PBE level.

The value obtained for the energy of formation from the pure elements is -31.9 kJ per mole of atoms. Its space group is P-3m1 (164).

Cell and atoms, written as extended XYZ:
```
15
Lattice="-4.4522 -2.1946 -3.0551 -0.2269 0.0935 5.8234 -3.5441 7.5509 -0.2593" Properties=species:S:1:pos:R:3 pbc="T T T"
Pu -3.9040 4.1643 2.6979
Pu 0.0000 0.0000 0.0000
Pu -4.3192 1.2854 -0.1889
Cu -1.7721 3.7754 -0.1297
B -2.1663 0.4620 2.8250
B -6.0569 4.9877 -0.3161
Rh -6.2873 3.5785 -1.7751
Rh -6.4019 3.6257 1.1650
Rh -4.0395 4.6866 -0.2326
Rh -4.1838 0.7632 2.7416
Rh -1.8213 1.8240 1.3439
Rh -1.9359 1.8712 4.2841
Rh -2.2261 -1.0973 -1.5276
Rh -0.1135 0.0467 2.9117
Rh -2.3395 -1.0506 1.3841
```

Entry 3:
Below is a relaxed structure of Pu2CuB2Rh5, with properties calculated at the PBE level.

The value obtained for the energy of formation from the pure elements is -42.7 kJ per mole of atoms. Its space group is P4/mbm (127).

Cell and atoms, written as extended XYZ:
```
20
Lattice="3.2310 0.0000 0.0000 0.0000 9.4710 0.0000 0.0000 0.0000 9.4710" Properties=species:S:1:pos:R:3 pbc="T T T"
Pu 0.0000 6.4145 1.6790
Pu 0.0000 3.0564 7.7919
Pu 0.0000 1.6790 3.0564
Pu 0.0000 7.7919 6.4145
Cu 0.0000 0.0000 0.0000
Cu 0.0000 4.7355 4.7355
B 0.0000 1.1655 5.9010
B 0.0000 8.3054 3.5700
B 0.0000 5.9010 8.3054
B 0.0000 3.5700 1.1655
Rh 1.6155 2.0769 0.6570
Rh 1.6155 7.3940 8.8139
Rh 1.6155 0.6570 7.3940
Rh 1.6155 6.8124 4.0784
Rh 1.6155 8.8139 2.0769
Rh 1.6155 2.6586 5.3925
Rh 1.6155 5.3925 6.8124
Rh 1.6155 4.0784 2.6586
Rh 1.6155 4.7355 0.0000
Rh 1.6155 0.0000 4.7355
```

Entry 4:
Below is a relaxed structure of RbCu3B, with properties calculated at the PBE level.

The value obtained for the energy of formation from the pure elements is 253.6 kJ per mole of atoms. The value obtained for the energy above the lowest structure with this stoichiometry is 10.45 eV per formula unit. Its space group is Pm-3m (221).

Cell and atoms, written as extended XYZ:
```
5
Lattice="5.4738 0.0000 0.0000 0.0000 5.4738 0.0000 0.0000 0.0000 5.4738" Properties=species:S:1:pos:R:3 pbc="T T T"
B 2.7369 2.7369 2.7369
Cu 0.0000 2.7369 0.0000
Cu 0.0000 0.0000 2.7369
Cu 2.7369 0.0000 0.0000
Rb 0.0000 0.0000 0.0000
```

Entry 5:
Below is a relaxed structure of RbCu3B, with properties calculated at the PBE level.

The value obtained for the energy of formation from the pure elements is 52.1 kJ per mole of atoms. The value obtained for the energy above the lowest structure with this stoichiometry is 0.00 eV per formula unit. Its space group is Pm-3m (221).

Cell and atoms, written as extended XYZ:
```
5
Lattice="-2.9170 0.8875 3.0909 -0.5139 -4.2481 0.7348 3.1745 0.1279 2.9592" Properties=species:S:1:pos:R:3 pbc="T T T"
B 0.0000 0.0000 0.0000
Cu -0.2569 -2.1241 0.3674
Cu 1.5872 0.0639 1.4796
Cu -1.4585 0.4437 1.5455
Rb -0.1282 -1.6164 3.3925
```

Entry 6:
Below is a relaxed structure of Rb3CuB, with properties calculated at the PBE level.

The value obtained for the energy of formation from the pure elements is 100.2 kJ per mole of atoms. The value obtained for the energy above the lowest structure with this stoichiometry is 0.00 eV per formula unit. Its space group is Pm-3m (221).

Cell and atoms, written as extended XYZ:
```
5
Lattice="6.1461 0.0000 0.0000 0.0000 6.1461 0.0000 0.0000 0.0000 6.1461" Properties=species:S:1:pos:R:3 pbc="T T T"
B 0.0000 0.0000 0.0000
Cu 3.0730 3.0730 3.0730
Rb 0.0000 3.0730 0.0000
Rb 0.0000 0.0000 3.0730
Rb 3.0730 0.0000 0.0000
```

Entry 7:
Below is a relaxed structure of RbCu2BS4, with properties calculated at the PBE level.

The calculation puts the formation energy from raw total energies at -2.75 eV per formula unit. Its space group is I-42m (121).

Cell and atoms, written as extended XYZ:
```
8
Lattice="-0.2221 5.9276 1.1607 -5.0417 2.5251 1.8773 2.6717 2.2392 4.8133" Properties=species:S:1:pos:R:3 pbc="T T T"
Rb 0.0000 0.0000 0.0000
Cu -3.2229 5.4174 3.1922
Cu 0.6308 5.2745 4.6590
B -1.1850 2.3821 3.3453
S -0.6595 7.0030 5.7015
S 0.2503 3.6079 2.9807
S -2.0753 7.4993 2.8959
S -2.6996 3.2735 4.1244
```

Entry 8:
Below is a relaxed structure of RbCuSi2B, with properties calculated at the PBE level.

The calculation puts the formation energy from raw total energies at 6.96 eV per formula unit. Its space group is P4/mmm (123).

Cell and atoms, written as extended XYZ:
```
5
Lattice="4.5031 0.0000 0.0000 0.0000 5.9549 0.0000 0.0000 0.0000 4.5031" Properties=species:S:1:pos:R:3 pbc="T T T"
Si 0.0000 0.0000 2.2515
Si 2.2515 0.0000 0.0000
B 2.2515 2.9774 2.2515
Cu 0.0000 0.0000 0.0000
Rb 0.0000 2.9774 0.0000
```

Entry 9:
Below is a relaxed structure of RbSrCuB2, with properties calculated at the PBE level.

The value obtained for the energy of formation from the pure elements is 116.3 kJ per mole of atoms. Its space group is P4/mmm (123).

Cell and atoms, written as extended XYZ:
```
5
Lattice="4.2666 0.0000 0.0000 0.0000 5.3233 0.0000 0.0000 0.0000 4.2666" Properties=species:S:1:pos:R:3 pbc="T T T"
Sr 0.0000 2.6616 0.0000
B 0.0000 0.0000 2.1333
B 2.1333 0.0000 0.0000
Cu 0.0000 0.0000 0.0000
Rb 2.1333 2.6616 2.1333
```

Entry 10:
Below is a relaxed structure of RbYCu2B, with properties calculated at the PBE level.

The value obtained for the energy of formation from the pure elements is 174.3 kJ per mole of atoms. Its space group is P4/mmm (123).

Cell and atoms, written as extended XYZ:
```
5
Lattice="5.0639 0.0000 0.0000 0.0000 5.0639 0.0000 0.0000 0.0000 4.8871" Properties=species:S:1:pos:R:3 pbc="T T T"
Y 2.5320 2.5320 2.4435
B 0.0000 0.0000 2.4435
Cu 0.0000 2.5320 0.0000
Cu 2.5320 0.0000 0.0000
Rb 0.0000 0.0000 0.0000
```

Entry 11:
Below is a relaxed structure of RbZrCu2B, with properties calculated at the PBE level.

The value obtained for the energy of formation from the pure elements is 116.6 kJ per mole of atoms. Its space group is P4/mmm (123).

Cell and atoms, written as extended XYZ:
```
5
Lattice="-1.8535 1.5581 -3.3364 3.4366 -2.5576 -3.1036 -2.5272 -3.2549 -0.1161" Properties=species:S:1:pos:R:3 pbc="T T T"
B 0.0000 0.0000 0.0000
Cu -1.2636 -1.6275 -0.0580
Cu -0.9268 0.7791 -1.6682
Rb 1.7183 -1.2788 -1.5518
Zr -0.4721 -2.1272 -3.2781
```

Entry 12:
Below is a relaxed structure of CuReB3, with properties calculated at the PBE level.

The value obtained for the energy of formation from the pure elements is 116.0 kJ per mole of atoms. The value obtained for the energy above the lowest structure with this stoichiometry is 0.00 eV per formula unit. Its space group is Pm-3m (221).

Cell and atoms, written as extended XYZ:
```
5
Lattice="4.0940 0.0000 0.0000 0.0000 4.0940 0.0000 0.0000 0.0000 4.0940" Properties=species:S:1:pos:R:3 pbc="T T T"
Re 0.0000 0.0000 0.0000
B 0.0000 2.0470 0.0000
B 0.0000 0.0000 2.0470
B 2.0470 0.0000 0.0000
Cu 2.0470 2.0470 2.0470
```

Entry 13:
Below is a relaxed structure of Cu2Re2B, with properties calculated at the PBE level.

The value obtained for the energy of formation from the pure elements is 29.5 kJ per mole of atoms. The value obtained for the energy above the lowest structure with this stoichiometry is 0.00 eV per formula unit. Its space group is P4/mbm (127).

Cell and atoms, written as extended XYZ:
```
10
Lattice="5.6278 0.0000 0.0000 0.0000 5.6278 0.0000 0.0000 0.0000 4.2143" Properties=species:S:1:pos:R:3 pbc="T T T"
Re 1.9270 4.7409 0.0000
Re 4.7409 3.7008 0.0000
Re 3.7008 0.8869 0.0000
Re 0.8869 1.9270 0.0000
B 0.0000 0.0000 0.0000
B 2.8139 2.8139 0.0000
Cu 0.8743 3.6882 2.1072
Cu 3.6882 4.7535 2.1072
Cu 4.7535 1.9396 2.1072
Cu 1.9396 0.8743 2.1072
```

Number 1: magnetic moment 0.00 μB per formula unit, Fermi-level density of states 5.938 states/eV/cell, volume 13.52 Å³/atom. Number 2: magnetic moment 11.87 μB per formula unit, Fermi-level density of states 41.282 states/eV/cell, volume 16.37 Å³/atom. Number 3: magnetic moment 9.15 μB per formula unit, Fermi-level density of states 47.255 states/eV/cell, volume 14.49 Å³/atom. Number 4: magnetic moment 0.00 μB per formula unit, Fermi-level density of states 5.852 states/eV/cell, volume 32.80 Å³/atom. Number 5: magnetic moment 0.00 μB per formula unit, Fermi-level density of states 2.539 states/eV/cell, volume 16.37 Å³/atom. Number 6: magnetic moment 0.00 μB per formula unit, Fermi-level density of states 4.449 states/eV/cell, volume 46.43 Å³/atom. Number 7: magnetic moment 0.00 μB per formula unit, Fermi-level density of states 5.980 states/eV/cell, volume 18.86 Å³/atom. Number 8: magnetic moment 0.00 μB per formula unit, Fermi-level density of states 4.317 states/eV/cell, volume 24.15 Å³/atom. Number 9: magnetic moment 0.00 μB per formula unit, Fermi-level density of states 3.037 states/eV/cell, volume 19.38 Å³/atom. Number 10: magnetic moment 0.00 μB per formula unit, Fermi-level density of states 4.046 states/eV/cell, volume 25.06 Å³/atom. Number 11: magnetic moment 0.11 μB per formula unit, Fermi-level density of states 4.377 states/eV/cell, volume 17.98 Å³/atom. Number 12: magnetic moment 0.00 μB per formula unit, Fermi-level density of states 1.582 states/eV/cell, volume 13.72 Å³/atom. Number 13: magnetic moment 0.00 μB per formula unit, Fermi-level density of states 7.656 states/eV/cell, volume 13.35 Å³/atom.